DFT (PBE) results for SrCd2Pd after structural relaxation.

Output
Energy of formation from the pure elements: -0.373 eV per atom
Space-group type: R-3m

Lattice parameters (Å, degrees): 4.7386 4.7386 16.3980 90.00 90.00 120.00
Fractional coordinates of all 12 atoms:
Sr (0.0000, 0.0000, 0.0000)
Sr (0.3333, 0.6667, 0.6667)
Sr (0.6667, 0.3333, 0.3333)
Cd (0.0000, 0.0000, 0.2081)
Cd (0.0000, 0.0000, 0.7919)
Cd (0.3333, 0.6667, 0.4586)
Cd (0.3333, 0.6667, 0.8747)
Cd (0.6667, 0.3333, 0.1253)
Cd (0.6667, 0.3333, 0.5414)
Pd (0.0000, 0.0000, 0.5000)
Pd (0.3333, 0.6667, 0.1667)
Pd (0.6667, 0.3333, 0.8333)

DFT (PBE) results for TaAg2Se after structural relaxation.

Output
Formation energy without anion corrections: 1.0 eV per formula unit
Space-group type: Imm2

Lattice parameters (Å, degrees): 3.1254 4.4508 12.2209 90.00 90.00 90.00
Fractional coordinates of all 8 atoms:
Ta (0.0000, 0.0000, 0.0000)
Ta (0.5000, 0.5000, 0.5000)
Ag (0.0000, 0.0000, 0.5752)
Ag (0.0000, 0.5000, 0.7149)
Ag (0.5000, 0.0000, 0.2149)
Ag (0.5000, 0.5000, 0.0752)
Se (0.0000, 0.5000, 0.3374)
Se (0.5000, 0.0000, 0.8374)

no.,theoretical density (Mg/m³)
1,6.544
2,9.292